Dy2GePIr6, optimized geometry, DFT GGA-PBE; energy = -7.725 eV per atom; formation energy = -0.486 eV/atom
1.0
-0.1708 -2.9275 -4.5888
-6.0889 -4.1734 2.8891
-5.5217 5.6869 -3.4225
Dy Ir Ge P
4 12 2 2
Direct
0.5000 0.7171 0.2682
0.0000 0.2829 0.2318
0.0000 0.2829 0.7682
0.5000 0.7171 0.7318
0.2399 0.4749 0.5000
0.7399 0.5251 0.0000
0.2601 0.5251 0.0000
0.0000 0.9044 0.7484
0.0000 0.9044 0.2516
0.2607 0.9775 0.0000
0.7393 0.9775 0.0000
0.5000 0.0956 0.2484
0.2393 0.0225 0.5000
0.5000 0.0956 0.7516
0.7607 0.0225 0.5000
0.7601 0.4749 0.5000
0.0000 0.7382 0.5000
0.5000 0.2618 0.0000
0.5000 0.2509 0.5000
0.0000 0.7491 0.0000